The following is a DFT calculation (GGA-PBE) of crystalline CaAcCe2Te4 at its relaxed geometry.

For the density of states at the Fermi level, the calculation gives 2.018 states/eV per atom. The calculation puts the final energy at -5.25 eV/atom. The volume comes out at 270.4 Å³ per cell. For the formation energy without anion corrections, the calculation gives -1.43 eV/atom.

a = 7.8836 Å, b = 4.5320 Å, c = 8.0041 Å
α = 90.00°, β = 109.02°, γ = 90.00°
Closest atoms and distances in Å follow each position.
Element x y z (fractional)
Ca 0.0000 0.0000 0.0000  6 Te 3.21
Ac 0.5000 0.5000 0.0000  6 Te 3.29-3.30
Ce 0.0000 0.5000 0.5000  6 Te 3.17-3.18
Ce 0.5000 0.0000 0.5000  6 Te 3.26
Te 0.2381 0.0000 0.7428  3 Ce 3.17-3.26, 1 Ca 3.21, 2 Ac 3.30
Te 0.2413 0.5000 0.2504  3 Ce 3.18-3.26, 2 Ca 3.21, 1 Ac 3.29
Te 0.7587 0.5000 0.7496  3 Ce 3.18-3.26, 2 Ca 3.21, 1 Ac 3.29
Te 0.7619 0.0000 0.2572  3 Ce 3.17-3.26, 1 Ca 3.21, 2 Ac 3.30

***

The following is a DFT calculation (GGA-PBE) of crystalline Ca2AcCeTl4 at its relaxed geometry.

The formation energy comes out at -0.3661 eV/atom. For the density of states at the Fermi level, the calculation gives 1.505 states/eV per atom. The calculation puts the final energy at -3.30 eV/atom. The volume comes out at 250.0 Å³ per cell.

a = 9.7457 Å, b = 9.7457 Å, c = 9.7457 Å
α = 33.41°, β = 33.41°, γ = 33.41°
Closest atoms and distances in Å follow each position.
Element x y z (fractional)
Ca 0.2492 0.2492 0.2492  8 Tl 3.36-3.58
Ca 0.7508 0.7508 0.7508  8 Tl 3.36-3.58
Ac 0.0000 0.0000 0.0000  8 Tl 3.47-3.51
Ce 0.5000 0.5000 0.5000  8 Tl 3.33-3.41
Tl 0.1274 0.1274 0.1274  4 Ca 3.36-3.45, 3 Ce 3.41, 1 Ac 3.51
Tl 0.3791 0.3791 0.3791  1 Ce 3.33, 4 Ca 3.40-3.58, 3 Ac 3.47
Tl 0.6209 0.6209 0.6209  1 Ce 3.33, 4 Ca 3.40-3.58, 3 Ac 3.47
Tl 0.8726 0.8726 0.8726  4 Ca 3.36-3.45, 3 Ce 3.41, 1 Ac 3.51